Record 1
The following is a DFT calculation (PBE-GGA) of an optimized crystal structure of Pm2DyP2N6.

Summary:
VASP energy: -7.844 eV/atom

Unit cell a=9.602 b=5.550 c=6.554 alpha=90.00 beta=119.35 gamma=90.00
Space group C2/m (No. 12)
Unique sites:
Pm: 0.204 0.000 0.179 x4
Dy: 0.000 0.000 0.500 x2
P: 0.043 0.500 0.268 x4
N: 0.056 0.255 0.824 x8
N: 0.231 0.500 0.380 x4



Record 2
The following is a DFT calculation (PBE-GGA) of an optimized crystal structure of Nb3PtF.

Summary:
E above lowest polymorph: 1234 meV per atom
VASP energy: -6.590 eV/atom

Unit cell a=4.942 b=4.942 c=4.942 alpha=90.00 beta=90.00 gamma=90.00
Space group Pm-3m (No. 221)
Unique sites:
Nb: 0.000 0.000 0.500 x3
Pt: 0.000 0.000 0.000 x1
F: 0.500 0.500 0.500 x1



Record 3
The following is a DFT calculation (PBE-GGA) of an optimized crystal structure of Cs3Be2Br8.

Summary:
VASP energy: -3.091 eV/atom

Unit cell a=7.5323 b=7.5323 c=29.9728 alpha=90.00 beta=90.00 gamma=120.00
Space group R-3m (No. 166, hexagonal axes)
Unique sites:
Cs: 0.0000 0.0000 0.0000 x3
Cs: 0.0000 0.0000 0.2112 x6
Be: 0.0000 0.0000 0.4123 x6
Br: 0.0000 0.0000 0.3388 x6
Br: 0.0150 0.5075 0.2312 x18